1.
Compound: HoTm3Al
Source: Alexandria
Functional: PBE
Structure: relaxed

Cell: 13.2739 13.2679 6.5699 Å, 90.00 99.17 90.00°
Last column: nearest neighbours and their distance in Å.
Space group C2/c (No. 15)
Inequivalent atoms, fractional coordinates:
Ho1 0.1064 0.1816 0.1332  1 Al 2.98, 2 Tm 3.29-3.33
Tm1 0.1045 0.0742 0.6175  1 Al 3.23, 3 Ho 3.33-3.49, 3 Tm 3.40-3.55
Tm2 0.1534 0.3409 0.5197  1 Al 2.85
Tm3 0.1802 0.4160 0.0244  3 Al 3.01-3.30, 1 Tm 3.24, 1 Ho 3.37
Al1 0.0000 0.2790 0.7500  2 Tm 2.85, 2 Ho 2.98, 1 Al 3.03
Al2 0.0000 0.4924 0.2500  6 Tm 3.01-3.19, 3 Al 3.03-3.29

Properties
* energy relative to the lowest polymorph listed for this composition: 16.5 kJ per mole of atoms
* total moment: 0.00 μB per atom
* E_form: 0.02 eV per atom

---

2.
Compound: ReTc2Hg
Source: Alexandria
Functional: PBE
Structure: relaxed

Cell: 2.8140 2.8140 28.2061 Å, 90.00 90.00 120.00°
Last column: nearest neighbours and their distance in Å.
Space group R3m (No. 160, hexagonal axes)
Inequivalent atoms, fractional coordinates:
Re1 0.0000 0.0000 0.0000  3 Tc 2.70, 6 Re 2.81
Tc1 0.0000 0.0000 0.2567  9 Tc 2.69-2.81, 3 Re 2.70
Tc2 0.0000 0.0000 0.5139  9 Tc 2.69-2.81, 3 Hg 3.00
Hg1 0.0000 0.0000 0.7580  6 Hg 2.81, 3 Tc 3.00, 3 Re 3.05

Properties
* total moment: 0.00 μB per atom
* E_form: 0.36 eV per atom

---

3.
Compound: TiNiRh3
Source: Alexandria
Functional: PBE
Structure: relaxed

Cell: 13.6297 3.8171 5.3776 Å, 90.00 98.48 90.00°
Last column: nearest neighbours and their distance in Å.
Space group C2/m (No. 12)
Inequivalent atoms, fractional coordinates:
Ti1 0.1090 0.0000 0.0544  9 Rh 2.59-2.82, 2 Ni 2.66
Ni1 0.2001 0.5000 0.3474  8 Rh 2.62-2.73, 2 Ti 2.66, 2 Ni 2.74
Rh1 0.0027 0.5000 0.2516  1 Ni 2.66, 7 Rh 2.68-2.74, 4 Ti 2.71-2.82
Rh2 0.1044 0.0000 0.5419  3 Ni 2.62-2.64, 2 Ti 2.63-2.75, 7 Rh 2.70-2.82
Rh3 0.1996 0.5000 0.8389  3 Ti 2.59-2.63, 4 Ni 2.63-2.73, 5 Rh 2.70-2.80

Properties
* energy relative to the lowest polymorph listed for this composition: 0.0 kJ per mole of atoms
* total moment: 0.00 μB per atom
* E_form: -0.39 eV per atom

---

4.
Compound: GeBi2Pt
Source: Alexandria
Functional: PBE
Structure: relaxed

Cell: 6.3849 6.3849 12.7268 Å, 90.00 90.00 90.00°
Last column: nearest neighbours and their distance in Å.
Space group I-42d (No. 122)
Inequivalent atoms, fractional coordinates:
Ge1 0.0000 0.0000 0.0000  4 Bi 2.84
Bi1 0.2299 0.2500 0.6250  2 Pt 2.69, 2 Ge 2.84
Pt1 0.0000 0.0000 0.5000  4 Bi 2.69

Properties
* total moment: 0.00 μB per atom
* E_form: 0.11 eV per atom